Entry 1:
This record from the Alexandria database describes Ta6Si7 after structural relaxation. The functional is PBE-GGA.

Cell lengths 9.3029, 9.3029, 9.3029 Å; angles 31.33, 31.33, 31.33 degrees
With the nearest neighbours (Å) after each atom.
Fractional coordinates of all 13 atoms:
Si  0.9169  0.4097  0.4097  5 Si 2.48-2.56, 4 Ta 2.71-2.75
Si  0.4097  0.4097  0.9169  5 Si 2.48-2.56, 4 Ta 2.71-2.75
Si  0.4097  0.9169  0.4097  5 Si 2.48-2.56, 4 Ta 2.71-2.75
Si  0.0831  0.5903  0.5903  5 Si 2.48-2.56, 4 Ta 2.71-2.75
Si  0.5903  0.0831  0.5903  5 Si 2.48-2.56, 4 Ta 2.71-2.75
Si  0.5903  0.5903  0.0831  5 Si 2.48-2.56, 4 Ta 2.71-2.75
Si  0.5000  0.5000  0.5000  6 Si 2.56
Ta  0.9506  0.9506  0.9506  2 Ta 2.62-2.76, 6 Si 2.71
Ta  0.0494  0.0494  0.0494  2 Ta 2.62-2.76, 6 Si 2.71
Ta  0.8467  0.8467  0.8467  4 Ta 2.76-2.99, 12 Si 2.83-3.05
Ta  0.1533  0.1533  0.1533  4 Ta 2.76-2.99, 12 Si 2.83-3.05
Ta  0.6660  0.6660  0.6660  6 Si 2.74-2.75, 3 Ta 2.90
Ta  0.3340  0.3340  0.3340  6 Si 2.74-2.75, 3 Ta 2.90

Results
Energy relative to the elements, uncorrected = -1.96 eV/f.u.
Symmetry = R-3m (166)
Total DFT energy (no corrections) = -0.628 Ry/atom
DOS at the Fermi energy = 0.39 states/eV per atom
Theoretical density = 11.020 g/cm³

***

Entry 2:
This record from the Alexandria database describes Ta3Si2 after structural relaxation. The functional is PBE-GGA.

Cell lengths 8.7343, 8.7343, 8.7343 Å; angles 22.76, 22.76, 22.76 degrees
With the nearest neighbours (Å) after each atom.
Fractional coordinates of all 5 atoms:
Ta  0.0000  0.0000  0.0000  6 Si 2.56
Ta  0.7927  0.7927  0.7927  3 Si 2.55
Ta  0.2073  0.2073  0.2073  3 Si 2.55
Si  0.3966  0.3966  0.3966  6 Ta 2.55-2.56
Si  0.6034  0.6034  0.6034  6 Ta 2.55-2.56

Results
Energy relative to the elements, uncorrected = -0.10 eV/f.u.
Symmetry = R-3m (166)
Total DFT energy (no corrections) = -0.684 Ry/atom
DOS at the Fermi energy = 0.47 states/eV per atom
Theoretical density = 11.372 g/cm³

***

Entry 3:
This record from the Alexandria database describes TaSi3 after structural relaxation. The functional is PBE-GGA.

Cell lengths 2.8596, 2.8596, 7.6610 Å; angles 90.00, 90.00, 103.18 degrees
With the nearest neighbours (Å) after each atom.
Fractional coordinates of all 4 atoms:
Si  0.0000  0.0000  0.9961  6 Si 2.59-2.86, 2 Ta 2.63
Si  0.5000  0.5000  0.7500  8 Si 2.59-2.86
Si  0.0000  0.0000  0.5039  6 Si 2.59-2.86, 2 Ta 2.63
Ta  0.5000  0.5000  0.2500  4 Si 2.63, 4 Ta 2.86

Results
Energy relative to the elements, uncorrected = 0.60 eV/f.u.
Symmetry = Cmmm (65)
Total DFT energy (no corrections) = -0.506 Ry/atom
DOS at the Fermi energy = 0.35 states/eV per atom
Theoretical density = 7.220 g/cm³

***

Entry 4:
This record from the Alexandria database describes Ta5Si4 after structural relaxation. The functional is PBE-GGA.

Cell lengths 7.8265, 7.8265, 5.3309 Å; angles 90.00, 90.00, 120.00 degrees
With the nearest neighbours (Å) after each atom.
Fractional coordinates of all 18 atoms:
Si  0.0000  0.0000  0.0000  6 Ta 2.52, 2 Si 2.67
Si  0.0000  0.0000  0.5000  6 Ta 2.52, 2 Si 2.67
Si  0.0000  0.3959  0.2500  9 Ta 2.58-2.83
Si  0.6041  0.6041  0.2500  9 Ta 2.58-2.83
Si  0.3959  0.0000  0.2500  9 Ta 2.58-2.83
Si  0.0000  0.6041  0.7500  9 Ta 2.58-2.83
Si  0.3959  0.3959  0.7500  9 Ta 2.58-2.83
Si  0.6041  0.0000  0.7500  9 Ta 2.58-2.83
Ta  0.0000  0.7260  0.2500  5 Si 2.52-2.75
Ta  0.2740  0.2740  0.2500  5 Si 2.52-2.75
Ta  0.7260  0.0000  0.2500  5 Si 2.52-2.75
Ta  0.0000  0.2740  0.7500  5 Si 2.52-2.75
Ta  0.7260  0.7260  0.7500  5 Si 2.52-2.75
Ta  0.2740  0.0000  0.7500  5 Si 2.52-2.75
Ta  0.6667  0.3333  0.0000  2 Ta 2.67, 6 Si 2.75
Ta  0.3333  0.6667  0.5000  2 Ta 2.67, 6 Si 2.75
Ta  0.3333  0.6667  0.0000  2 Ta 2.67, 6 Si 2.75
Ta  0.6667  0.3333  0.5000  2 Ta 2.67, 6 Si 2.75

Results
Energy relative to the elements, uncorrected = -4.10 eV/f.u.
Symmetry = P6_3/mcm (193)
Total DFT energy (no corrections) = -0.695 Ry/atom
Relative energy among the computed polymorphs = 0 meV/atom
DOS at the Fermi energy = 0.52 states/eV per atom
Theoretical density = 11.945 g/cm³

***

Entry 5:
This record from the Alexandria database describes Ta7Si after structural relaxation. The functional is PBE-GGA.

Cell lengths 5.8696, 5.8696, 5.8696 Å; angles 60.00, 60.00, 60.00 degrees
With the nearest neighbours (Å) after each atom.
Fractional coordinates of all 8 atoms:
Ta  0.5000  0.5000  0.0000  10 Ta 2.93, 2 Si 2.93
Ta  0.5000  0.0000  0.5000  10 Ta 2.93, 2 Si 2.93
Ta  0.5000  0.0000  0.0000  10 Ta 2.93, 2 Si 2.93
Ta  0.0000  0.0000  0.5000  10 Ta 2.93, 2 Si 2.93
Ta  0.0000  0.5000  0.0000  10 Ta 2.93, 2 Si 2.93
Ta  0.0000  0.5000  0.5000  10 Ta 2.93, 2 Si 2.93
Ta  0.5000  0.5000  0.5000  12 Ta 2.93
Si  0.0000  0.0000  0.0000  12 Ta 2.93

Results
Energy relative to the elements, uncorrected = 0.35 eV/f.u.
Symmetry = Fm-3m (225)
Total DFT energy (no corrections) = -0.809 Ry/atom
DOS at the Fermi energy = 1.29 states/eV per atom
Theoretical density = 15.035 g/cm³

***

Entry 6:
This record from the Alexandria database describes Ta3Si after structural relaxation. The functional is PBE-GGA.

Cell lengths 5.4290, 5.4290, 4.7954 Å; angles 90.00, 90.00, 103.46 degrees
With the nearest neighbours (Å) after each atom.
Fractional coordinates of all 8 atoms:
Ta  0.1722  0.1722  0.7500  4 Ta 2.74-2.75, 3 Si 2.81-2.88
Ta  0.8278  0.8278  0.2500  4 Ta 2.74-2.75, 3 Si 2.81-2.88
Ta  0.0971  0.6540  0.7500  2 Si 2.69-2.78, 6 Ta 2.74-2.97
Ta  0.9029  0.3460  0.2500  2 Si 2.69-2.78, 6 Ta 2.74-2.97
Ta  0.6540  0.0971  0.7500  2 Si 2.69-2.78, 6 Ta 2.74-2.97
Ta  0.3460  0.9029  0.2500  2 Si 2.69-2.78, 6 Ta 2.74-2.97
Si  0.4095  0.4095  0.2500  2 Si 2.69, 7 Ta 2.69-2.88
Si  0.5905  0.5905  0.7500  2 Si 2.69, 7 Ta 2.69-2.88

Results
Energy relative to the elements, uncorrected = -0.40 eV/f.u.
Symmetry = Cmcm (63)
Total DFT energy (no corrections) = -0.760 Ry/atom
DOS at the Fermi energy = 0.69 states/eV per atom
Theoretical density = 13.793 g/cm³

***

Entry 7:
This record from the Alexandria database describes TaSi3 after structural relaxation. The functional is PBE-GGA.

Cell lengths 4.8392, 4.8392, 4.8392 Å; angles 139.89, 124.85, 70.35 degrees
With the nearest neighbours (Å) after each atom.
Fractional coordinates of all 4 atoms:
Si  0.2325  0.2325  0.0000  2 Si 2.48, 2 Ta 2.69
Si  0.7675  0.7675  0.0000  2 Si 2.48, 2 Ta 2.69
Si  0.0000  0.5000  0.5000  4 Si 2.48
Ta  0.5000  0.0000  0.5000  12 Si 2.69-2.90

Results
Energy relative to the elements, uncorrected = -0.13 eV/f.u.
Symmetry = Immm (71)
Total DFT energy (no corrections) = -0.519 Ry/atom
DOS at the Fermi energy = 0.34 states/eV per atom
Theoretical density = 7.488 g/cm³

***

Entry 8:
This record from the Alexandria database describes Ta3Si after structural relaxation. The functional is PBE-GGA.

Cell lengths 2.8174, 2.8174, 8.6082 Å; angles 90.00, 90.00, 90.00 degrees
With the nearest neighbours (Å) after each atom.
Fractional coordinates of all 4 atoms:
Si  0.0000  0.0000  0.0000  8 Ta 2.77, 4 Si 2.82
Ta  0.5000  0.5000  0.7758  4 Si 2.77, 8 Ta 2.82-3.10
Ta  0.0000  0.0000  0.5000  12 Ta 2.82-3.10
Ta  0.5000  0.5000  0.2242  4 Si 2.77, 8 Ta 2.82-3.10

Results
Energy relative to the elements, uncorrected = -0.14 eV/f.u.
Symmetry = P4/mmm (123)
Total DFT energy (no corrections) = -0.756 Ry/atom
DOS at the Fermi energy = 1.01 states/eV per atom
Theoretical density = 13.875 g/cm³

***

Entry 9:
This record from the Alexandria database describes TaSi7 after structural relaxation. The functional is PBE-GGA.

Cell lengths 5.4675, 5.4675, 5.4675 Å; angles 60.00, 60.00, 60.00 degrees
With the nearest neighbours (Å) after each atom.
Fractional coordinates of all 8 atoms:
Ta  0.0000  0.0000  0.0000  12 Si 2.73
Si  0.5000  0.5000  0.0000  10 Si 2.73, 2 Ta 2.73
Si  0.5000  0.0000  0.5000  10 Si 2.73, 2 Ta 2.73
Si  0.5000  0.0000  0.0000  10 Si 2.73, 2 Ta 2.73
Si  0.0000  0.0000  0.5000  10 Si 2.73, 2 Ta 2.73
Si  0.0000  0.5000  0.0000  10 Si 2.73, 2 Ta 2.73
Si  0.0000  0.5000  0.5000  10 Si 2.73, 2 Ta 2.73
Si  0.5000  0.5000  0.5000  12 Si 2.73

Results
Energy relative to the elements, uncorrected = 2.33 eV/f.u.
Symmetry = Fm-3m (225)
Total DFT energy (no corrections) = -0.436 Ry/atom
DOS at the Fermi energy = 0.38 states/eV per atom
Theoretical density = 5.425 g/cm³

***

Entry 10:
This record from the Alexandria database describes Ta5Si3 after structural relaxation. The functional is PBE-GGA.

Cell lengths 7.5208, 7.5208, 7.5231 Å; angles 96.65, 96.65, 140.18 degrees
With the nearest neighbours (Å) after each atom.
Fractional coordinates of all 16 atoms:
Si  0.7497  0.7499  0.0000  2 Si 2.56, 8 Ta 2.65
Si  0.2495  0.2501  0.0000  2 Si 2.56, 8 Ta 2.65
Si  0.3340  0.1656  0.5000  10 Ta 2.65-2.95
Si  0.6652  0.8344  0.5000  10 Ta 2.65-2.95
Si  0.1650  0.6654  0.8310  10 Ta 2.65-2.95
Si  0.8342  0.3346  0.1690  10 Ta 2.65-2.95
Ta  0.2495  0.7499  0.4998  2 Ta 2.56, 4 Si 2.67
Ta  0.7497  0.2501  0.5002  2 Ta 2.56, 4 Si 2.67
Ta  0.7798  0.0749  0.8550  6 Si 2.65-2.95, 3 Ta 2.90-2.97
Ta  0.2194  0.9251  0.1450  6 Si 2.65-2.95, 3 Ta 2.90-2.97
Ta  0.7189  0.5743  0.2946  6 Si 2.65-2.95, 3 Ta 2.91-2.97
Ta  0.2803  0.4257  0.7054  6 Si 2.65-2.95, 3 Ta 2.91-2.97
Ta  0.5745  0.2802  0.8550  6 Si 2.65-2.95, 3 Ta 2.90-2.97
Ta  0.4247  0.7198  0.1450  6 Si 2.65-2.95, 3 Ta 2.90-2.97
Ta  0.0739  0.2193  0.2946  6 Si 2.65-2.95, 3 Ta 2.91-2.97
Ta  0.9253  0.7807  0.7054  6 Si 2.65-2.95, 3 Ta 2.91-2.97

Results
Energy relative to the elements, uncorrected = -4.57 eV/f.u.
Symmetry = I4/mcm (140)
Total DFT energy (no corrections) = -0.736 Ry/atom
Relative energy among the computed polymorphs = 49 meV/atom
DOS at the Fermi energy = 0.59 states/eV per atom
Theoretical density = 12.817 g/cm³

***

Entry 11:
This record from the Alexandria database describes Ta4Si after structural relaxation. The functional is PBE-GGA.

Cell lengths 5.0813, 5.0813, 5.0813 Å; angles 109.47, 109.47, 109.47 degrees
With the nearest neighbours (Å) after each atom.
Fractional coordinates of all 5 atoms:
Ta  0.5000  0.0000  0.0000  2 Si 2.54
Ta  0.5000  0.5000  0.5000  2 Si 2.54
Ta  0.0000  0.5000  0.0000  2 Si 2.54
Ta  0.0000  0.0000  0.5000  2 Si 2.54
Si  0.0000  0.0000  0.0000  8 Ta 2.54

Results
Energy relative to the elements, uncorrected = 3.48 eV/f.u.
Symmetry = Im-3m (229)
Total DFT energy (no corrections) = -0.725 Ry/atom
Relative energy among the computed polymorphs = 806 meV/atom
DOS at the Fermi energy = 1.11 states/eV per atom
Theoretical density = 12.362 g/cm³

***

Entry 12:
This record from the Alexandria database describes Ta2Si after structural relaxation. The functional is PBE-GGA.

Cell lengths 4.5769, 4.5769, 5.4178 Å; angles 90.00, 90.00, 120.00 degrees
With the nearest neighbours (Å) after each atom.
Fractional coordinates of all 6 atoms:
Ta  0.0000  0.0000  0.0000  8 Ta 2.71-2.97, 6 Si 2.97
Ta  0.0000  0.0000  0.5000  8 Ta 2.71-2.97, 6 Si 2.97
Ta  0.3333  0.6667  0.7500  5 Si 2.64-2.71
Ta  0.6667  0.3333  0.2500  5 Si 2.64-2.71
Si  0.3333  0.6667  0.2500  5 Ta 2.64-2.71
Si  0.6667  0.3333  0.7500  5 Ta 2.64-2.71

Results
Energy relative to the elements, uncorrected = -0.61 eV/f.u.
Symmetry = P6_3/mmc (194)
Total DFT energy (no corrections) = -0.729 Ry/atom
DOS at the Fermi energy = 0.94 states/eV per atom
Theoretical density = 13.178 g/cm³